## a
! Tm2CdAg6 (PBE, optimized geometry); values from VASP
&SYSTEM
  ibrav = 0, nat = 9, ntyp = 3
/
ATOMIC_SPECIES
Tm 168.93 Tm.upf
Cd 112.41 Cd.upf
Ag 107.87 Ag.upf
CELL_PARAMETERS angstrom
5.382 -3.100 0.000
5.382 3.100 0.000
-0.007 0.000 5.734
ATOMIC_POSITIONS crystal
Tm 0.166 0.166 0.156
Tm 0.834 0.834 0.844
Cd 0.500 0.500 0.000
Ag 0.132 0.684 0.327
Ag 0.315 0.315 0.673
Ag 0.316 0.868 0.673
Ag 0.684 0.132 0.327
Ag 0.685 0.685 0.327
Ag 0.868 0.316 0.673
! - Space-group type: C2/m
! - Volume: 191 Å³/cell

## b
! Tm2CdAg6 (PBE, optimized geometry); values from VASP
&SYSTEM
  ibrav = 0, nat = 18, ntyp = 3
/
ATOMIC_SPECIES
Tm 168.93 Tm.upf
Cd 112.41 Cd.upf
Ag 107.87 Ag.upf
CELL_PARAMETERS angstrom
7.003 -5.175 0.000
7.003 5.175 0.000
-0.874 0.000 5.102
ATOMIC_POSITIONS crystal
Tm 0.033 0.295 0.086
Tm 0.295 0.033 0.586
Tm 0.705 0.967 0.414
Tm 0.967 0.705 0.914
Cd 0.363 0.637 0.750
Cd 0.637 0.363 0.250
Ag 0.068 0.820 0.464
Ag 0.159 0.397 0.636
Ag 0.180 0.932 0.036
Ag 0.277 0.507 0.198
Ag 0.397 0.159 0.136
Ag 0.493 0.723 0.302
Ag 0.507 0.277 0.698
Ag 0.603 0.841 0.864
Ag 0.723 0.493 0.802
Ag 0.820 0.068 0.964
Ag 0.841 0.603 0.364
Ag 0.932 0.180 0.536
! - Space-group type: C2/c
! - Volume: 370 Å³/cell

Each structure's energy above the most stable one, in meV/atom: a 22; b 0.